This record from Alexandria describes a relaxed structure of NpTc. The functional is PBE.

The space group is Pm-3m (No. 221) and the conventional cell measures 3.354, 3.354 and 3.354 Å, with angles of 90.00, 90.00 and 90.00 degrees. Symmetry generates all atoms from Np at (0.000, 0.000, 0.000) and Tc at (0.500, 0.500, 0.500).

Its density of states at the Fermi level is 3.653 states/eV/f.u. Its relative energy among the computed polymorphs is 0.136 eV per atom. The formation energy from the elements is 0.4 eV/f.u. The total energy is -11.4569 eV/atom.